No. 1
## AcNdPt (PBE-GGA)

Data for crystalline AcNdPt at its relaxed geometry.

a b c (Å): 5.061 5.061 7.340
angles (deg): 89.49 89.52 90.00
Sites, in units of the cell vectors:
Nd 0.312 0.868 0.920
Nd 0.815 0.365 0.920
Ac 0.813 0.866 0.535
Ac 0.314 0.367 0.304
Pt 0.809 0.861 0.131
Pt 0.319 0.372 0.708

## Properties
Its magnetic moment is 0.00 μB per formula unit. The offset from the most stable computed form comes out at 0.0 meV per atom. Its calculated volume is 31.335 A^3/atom.

---

No. 2
## AcNd3Pt (PBE-GGA)

Data for crystalline AcNd3Pt at its relaxed geometry.

a b c (Å): 5.730 5.730 5.730
angles (deg): 90.00 90.00 90.00
Sites, in units of the cell vectors:
Nd 0.000 0.000 0.500
Nd 0.000 0.500 0.000
Nd 0.500 0.000 0.000
Ac 0.500 0.500 0.500
Pt 0.000 0.000 0.000

## Properties
Its magnetic moment is 0.08 μB per formula unit. The offset from the most stable computed form comes out at 89.3 meV per atom. Its calculated volume is 37.633 A^3/atom.

---

No. 3
## Ac2NdPt (PBE-GGA)

Data for crystalline Ac2NdPt at its relaxed geometry.

a b c (Å): 3.853 3.853 9.165
angles (deg): 90.00 90.00 90.00
Sites, in units of the cell vectors:
Ac 0.000 0.000 0.805
Ac 0.000 0.000 0.195
Pt 0.500 0.500 0.000
Nd 0.500 0.500 0.500

## Properties
Its magnetic moment is 0.00 μB per formula unit. The offset from the most stable computed form comes out at 136.1 meV per atom. Its calculated volume is 34.017 A^3/atom.

---

No. 4
## Ac2Nd2Pt15 (PBE-GGA)

Data for crystalline Ac2Nd2Pt15 at its relaxed geometry.

a b c (Å): 7.206 7.206 7.206
angles (deg): 82.77 82.77 82.77
Sites, in units of the cell vectors:
Pt 0.347 0.347 0.839
Pt 0.000 0.311 0.689
Pt 0.653 0.161 0.653
Pt 0.000 0.500 0.000
Pt 0.347 0.839 0.347
Pt 0.689 0.000 0.311
Pt 0.689 0.311 0.000
Pt 0.839 0.347 0.347
Pt 0.000 0.000 0.500
Pt 0.000 0.689 0.311
Pt 0.311 0.000 0.689
Pt 0.653 0.653 0.161
Pt 0.311 0.689 0.000
Pt 0.161 0.653 0.653
Pt 0.500 0.000 0.000
Nd 0.106 0.106 0.106
Nd 0.894 0.894 0.894
Ac 0.644 0.644 0.644
Ac 0.356 0.356 0.356

## Properties
Its magnetic moment is 0.00 μB per formula unit. Its calculated volume is 19.262 A^3/atom.

---

| no. | energy relative to the elements (eV per formula unit) |
| --- | --- |
| 1 | -2.28 |
| 2 | -1.60 |
| 3 | -1.86 |
| 4 | -13.47 |